Pm5TmGe6 after structural relaxation, computed with GGA-PBE.

```
Pm5TmGe6
1.0
3.672 -6.331 0.000
3.672 6.331 0.000
-2.424 0.000 6.928
Pm Tm Ge
5 1 6
direct
0.000 0.000 0.000 Pm
0.166 0.834 0.500 Pm
0.331 0.669 0.000 Pm
0.669 0.331 0.000 Pm
0.834 0.166 0.500 Pm
0.500 0.500 0.500 Tm
0.091 0.418 0.255 Ge
0.256 0.256 0.749 Ge
0.418 0.091 0.255 Ge
0.582 0.909 0.745 Ge
0.744 0.744 0.251 Ge
0.909 0.582 0.745 Ge
```

Values from the calculation:
E_form, eV/atom: -0.653
Fermi-level density of states, states/eV/atom: 0.94
Space group: C2/m, No. 12